1.
First-principles (SCAN) data for a crystal of CoOsC3 relaxed with PBEsol, as listed in the Alexandria database.

Cell: 3.9201 3.9201 3.9201 Å, 90.00 90.00 90.00°
Element x y z (fractional)
Os1 0.0000 0.0000 0.0000
C1 0.5000 0.0000 0.0000
C2 0.0000 0.5000 0.0000
C3 0.0000 0.0000 0.5000
Co1 0.5000 0.5000 0.5000

Results
The energy relative to the elements is 11.386 eV/f.u.

2.
First-principles (SCAN) data for a crystal of HfCu2I relaxed with PBEsol, as listed in the Alexandria database.

Cell: 4.6737 4.6737 4.6737 Å, 60.00 60.00 60.00°
Element x y z (fractional)
Hf1 0.5000 0.5000 0.5000
Cu1 0.2500 0.2500 0.2500
Cu2 0.7500 0.7500 0.7500
I1 0.0000 0.0000 0.0000

Results
The formation energy from raw total energies is 3.00 eV per formula unit.

The records above yield mass density values of 7862; 9949 kg/m³, respectively.
The records above yield total moment values of 0.2989; 0.0000 μB per atom, respectively.
The records above yield uncorrected energy values of -108.1; -126.8 eV/f.u., respectively.